Pm2Pr3Th after structural relaxation. Source: the Alexandria database, functional PBE.

Summary:
- Offset from the most stable computed form: 0.175 eV per atom

Unit cell a=8.2510 b=8.2510 c=6.6405 alpha=90.00 beta=90.00 gamma=108.78
Last column: nearest neighbours and their distance in Å.
Sites, in units of the cell vectors:
Pm1 0.0009 0.3656 0.0000  2 Th 3.28-3.34, 3 Pr 3.44-3.53, 1 Pm 3.52
Pm2 0.3656 0.0009 0.5000  2 Th 3.28-3.34, 3 Pr 3.44-3.53, 1 Pm 3.52
Pm3 0.6344 0.9991 0.0000  2 Th 3.28-3.34, 3 Pr 3.44-3.53, 1 Pm 3.52
Pm4 0.9991 0.6344 0.5000  2 Th 3.28-3.34, 3 Pr 3.44-3.53, 1 Pm 3.52
Pr1 0.1055 0.2532 0.5170  4 Pm 3.44-3.73, 2 Pr 3.45-3.48, 1 Th 3.82
Pr2 0.2532 0.1055 0.0170  4 Pm 3.44-3.73, 2 Pr 3.45-3.48, 1 Th 3.82
Pr3 0.4134 0.5866 0.2748  3 Th 3.39-3.62, 2 Pr 3.48, 2 Pm 3.77
Pr4 0.5866 0.4134 0.7748  3 Th 3.39-3.62, 2 Pr 3.48, 2 Pm 3.77
Pr5 0.7468 0.8945 0.5170  4 Pm 3.44-3.73, 2 Pr 3.45-3.48, 1 Th 3.82
Pr6 0.8945 0.7468 0.0170  4 Pm 3.44-3.73, 2 Pr 3.45-3.48, 1 Th 3.82
Th1 0.3290 0.6710 0.7931  4 Pm 3.28-3.34, 3 Pr 3.39-3.62
Th2 0.6710 0.3290 0.2931  4 Pm 3.28-3.34, 3 Pr 3.39-3.62

PmPr5Th after structural relaxation. Source: the Alexandria database, functional PBE.

Unit cell a=5.8081 b=5.8081 c=7.9048 alpha=90.00 beta=90.00 gamma=90.00
Last column: nearest neighbours and their distance in Å.
Sites, in units of the cell vectors:
Pm1 0.0000 0.0000 0.0000  8 Pr 3.66, 2 Th 3.95
Pr1 0.0000 0.5000 0.2820  2 Th 3.38, 3 Pr 3.45-3.66, 2 Pm 3.66
Pr2 0.0000 0.5000 0.7180  2 Th 3.38, 3 Pr 3.45-3.66, 2 Pm 3.66
Pr3 0.5000 0.0000 0.2820  2 Th 3.38, 3 Pr 3.45-3.66, 2 Pm 3.66
Pr4 0.5000 0.0000 0.7180  2 Th 3.38, 3 Pr 3.45-3.66, 2 Pm 3.66
Pr5 0.5000 0.5000 0.0000  8 Pr 3.66
Th1 0.0000 0.0000 0.5000  8 Pr 3.38

Pm7PrTh3 after structural relaxation. Source: the Alexandria database, functional PBE.

Unit cell a=7.8254 b=7.8254 c=6.3930 alpha=95.16 beta=95.16 gamma=81.77
Last column: nearest neighbours and their distance in Å.
Sites, in units of the cell vectors:
Pm1 0.0000 0.0000 0.0000  2 Pr 3.20, 2 Th 3.36
Pm2 0.0775 0.4307 0.2618  6 Pm 3.34-3.73, 3 Th 3.53-3.61
Pm3 0.2703 0.2703 0.7890  5 Pm 3.34-3.62, 3 Th 3.38-3.46, 1 Pr 3.50
Pm4 0.4307 0.0775 0.2618  6 Pm 3.34-3.73, 3 Th 3.53-3.61
Pm5 0.5693 0.9225 0.7382  6 Pm 3.34-3.73, 3 Th 3.53-3.61
Pm6 0.7297 0.7297 0.2110  5 Pm 3.34-3.62, 3 Th 3.38-3.46, 1 Pr 3.50
Pm7 0.9225 0.5693 0.7382  6 Pm 3.34-3.73, 3 Th 3.53-3.61
Pr1 0.0000 0.0000 0.5000  4 Pm 3.20-3.50
Th1 0.3280 0.6720 0.0000  7 Pm 3.36-3.61, 3 Th 3.52-3.65
Th2 0.5000 0.5000 0.5000  6 Pm 3.46-3.61, 4 Th 3.65
Th3 0.6720 0.3280 0.0000  7 Pm 3.36-3.61, 3 Th 3.52-3.65

Pm5Pr2Th2 after structural relaxation. Source: the Alexandria database, functional PBE.

Unit cell a=6.3082 b=6.3085 c=9.6309 alpha=71.14 beta=71.11 gamma=60.17
Last column: nearest neighbours and their distance in Å.
Sites, in units of the cell vectors:
Pm1 0.0000 0.0000 0.0000  6 Pr 3.62-3.69, 2 Th 3.66, 4 Pm 3.68
Pm2 0.1145 0.4456 0.6627  6 Pm 3.58-3.68, 4 Th 3.60-3.68, 2 Pr 3.66-3.70
Pm3 0.4444 0.7783 0.6622  4 Th 3.58-3.68, 6 Pm 3.58-3.68, 2 Pr 3.68-3.70
Pm4 0.5556 0.2217 0.3378  4 Th 3.58-3.68, 6 Pm 3.58-3.68, 2 Pr 3.68-3.70
Pm5 0.8855 0.5544 0.3373  6 Pm 3.58-3.68, 4 Th 3.60-3.68, 2 Pr 3.66-3.70
Pr1 0.3363 0.3259 0.0001  3 Pr 3.57-3.69, 7 Pm 3.62-3.70, 2 Th 3.65-3.69
Pr2 0.6637 0.6741 0.9999  3 Pr 3.57-3.69, 7 Pm 3.62-3.70, 2 Th 3.65-3.69
Th1 0.2135 0.8945 0.3378  1 Th 3.53, 9 Pm 3.58-3.68, 2 Pr 3.65-3.69
Th2 0.7865 0.1055 0.6622  1 Th 3.53, 9 Pm 3.58-3.68, 2 Pr 3.65-3.69

PmPr6Th3 after structural relaxation. Source: the Alexandria database, functional PBE.

Unit cell a=10.7687 b=5.7732 c=11.6620 alpha=90.00 beta=95.54 gamma=90.00
Last column: nearest neighbours and their distance in Å.
Sites, in units of the cell vectors:
Pm1 0.0369 0.2500 0.3288  9 Pr 3.51-3.71, 1 Th 3.76
Pm2 0.9631 0.7500 0.6712  9 Pr 3.51-3.71, 1 Th 3.76
Pr1 0.1514 0.7500 0.1881  4 Pr 3.22-3.57, 3 Th 3.44-3.52, 2 Pm 3.60
Pr2 0.1630 0.2500 0.6823  2 Pm 3.60, 3 Th 3.64-3.69, 6 Pr 3.82-3.95
Pr3 0.1915 0.7500 0.4650  1 Th 3.17, 1 Pr 3.22
Pr4 0.2125 0.7500 0.9134  4 Th 3.17-3.54, 1 Pr 3.33
Pr5 0.3423 0.2500 0.2480  1 Th 3.10
Pr6 0.4561 0.2500 0.8946  3 Th 3.75-3.83, 8 Pr 3.82-4.06
Pr7 0.5439 0.7500 0.1054  3 Th 3.75-3.83, 8 Pr 3.82-4.06
Pr8 0.6577 0.7500 0.7520  1 Th 3.10
Pr9 0.7875 0.2500 0.0866  4 Th 3.17-3.54, 1 Pr 3.33
Pr10 0.8085 0.2500 0.5350  1 Th 3.17, 1 Pr 3.22
Pr11 0.8370 0.7500 0.3177  2 Pm 3.60, 3 Th 3.64-3.69, 6 Pr 3.82-3.95
Pr12 0.8486 0.2500 0.8119  4 Pr 3.22-3.57, 3 Th 3.44-3.52, 2 Pm 3.60
Th1 0.1006 0.2500 0.0178  7 Pr 3.40-3.55, 2 Th 3.61, 1 Pm 3.76
Th2 0.3703 0.7500 0.6974  3 Pr 3.10-3.17
Th3 0.4706 0.2500 0.5676  5 Th 3.38-3.68, 2 Pr 3.69-3.70
Th4 0.5294 0.7500 0.4324  5 Th 3.38-3.68, 2 Pr 3.69-3.70
Th5 0.6297 0.2500 0.3026  3 Pr 3.10-3.17
Th6 0.8994 0.7500 0.9822  7 Pr 3.40-3.55, 2 Th 3.61, 1 Pm 3.76

Pm2Pr2Th15 after structural relaxation. Source: the Alexandria database, functional PBE.

Unit cell a=8.7944 b=8.7944 c=8.7944 alpha=82.20 beta=82.20 gamma=82.20
Last column: nearest neighbours and their distance in Å.
Sites, in units of the cell vectors:
Pm1 0.1026 0.1026 0.1026  6 Th 3.51-3.65, 1 Pm 3.52
Pm2 0.8974 0.8974 0.8974  6 Th 3.51-3.65, 1 Pm 3.52
Pr1 0.3502 0.3502 0.3502  12 Th 4.02-4.14, 1 Pm 4.25
Pr2 0.6498 0.6498 0.6498  12 Th 4.02-4.14, 1 Pm 4.25
Th1 0.0000 0.0000 0.5000  8 Th 3.38-3.41, 2 Pm 3.51
Th2 0.0000 0.3076 0.6924  8 Th 3.38-3.59
Th3 0.0000 0.5000 0.0000  8 Th 3.38-3.41, 2 Pm 3.51
Th4 0.0000 0.6924 0.3076  8 Th 3.38-3.59
Th5 0.1767 0.6572 0.6572  8 Th 3.21-3.59
Th6 0.3076 0.0000 0.6924  8 Th 3.38-3.59
Th7 0.3076 0.6924 0.0000  8 Th 3.38-3.59
Th8 0.3428 0.3428 0.8233  8 Th 3.21-3.59
Th9 0.3428 0.8233 0.3428  8 Th 3.21-3.59
Th10 0.5000 0.0000 0.0000  8 Th 3.38-3.41, 2 Pm 3.51
Th11 0.6572 0.1767 0.6572  8 Th 3.21-3.59
Th12 0.6572 0.6572 0.1767  8 Th 3.21-3.59
Th13 0.6924 0.0000 0.3076  8 Th 3.38-3.59
Th14 0.6924 0.3076 0.0000  8 Th 3.38-3.59
Th15 0.8233 0.3428 0.3428  8 Th 3.21-3.59

Pm2Pr12Th after structural relaxation. Source: the Alexandria database, functional PBE.

Unit cell a=6.6571 b=6.6571 c=25.6566 alpha=90.00 beta=90.00 gamma=90.00
Last column: nearest neighbours and their distance in Å.
Sites, in units of the cell vectors:
Pm1 0.2500 0.7500 0.2327  8 Pr 3.61-3.77
Pm2 0.2500 0.7500 0.7673  8 Pr 3.61-3.77
Pm3 0.7500 0.2500 0.2327  8 Pr 3.61-3.77
Pm4 0.7500 0.2500 0.7673  8 Pr 3.61-3.77
Pr1 0.0600 0.5600 0.3898  1 Th 3.35, 7 Pr 3.42-3.58
Pr2 0.0600 0.9400 0.6102  1 Th 3.35, 7 Pr 3.42-3.58
Pr3 0.0821 0.5821 0.0627  5 Pr 3.16-3.50
Pr4 0.0821 0.9179 0.9373  5 Pr 3.16-3.50
Pr5 0.2500 0.2500 0.1635  1 Pr 3.17
Pr6 0.2500 0.2500 0.2870  1 Pr 3.17
Pr7 0.2500 0.2500 0.7130  1 Pr 3.17
Pr8 0.2500 0.2500 0.8365  1 Pr 3.17
Pr9 0.4179 0.5821 0.9373  5 Pr 3.16-3.50
Pr10 0.4179 0.9179 0.0627  5 Pr 3.16-3.50
Pr11 0.4400 0.5600 0.6102  1 Th 3.35, 7 Pr 3.42-3.58
Pr12 0.4400 0.9400 0.3898  1 Th 3.35, 7 Pr 3.42-3.58
Pr13 0.5600 0.0600 0.6102  1 Th 3.35, 7 Pr 3.42-3.58
Pr14 0.5600 0.4400 0.3898  1 Th 3.35, 7 Pr 3.42-3.58
Pr15 0.5821 0.0821 0.9373  5 Pr 3.16-3.50
Pr16 0.5821 0.4179 0.0627  5 Pr 3.16-3.50
Pr17 0.7500 0.7500 0.1635  1 Pr 3.17
Pr18 0.7500 0.7500 0.2870  1 Pr 3.17
Pr19 0.7500 0.7500 0.7130  1 Pr 3.17
Pr20 0.7500 0.7500 0.8365  1 Pr 3.17
Pr21 0.9179 0.0821 0.0627  5 Pr 3.16-3.50
Pr22 0.9179 0.4179 0.9373  5 Pr 3.16-3.50
Pr23 0.9400 0.0600 0.3898  1 Th 3.35, 7 Pr 3.42-3.58
Pr24 0.9400 0.4400 0.6102  1 Th 3.35, 7 Pr 3.42-3.58
Th1 0.2500 0.7500 0.5000  4 Pr 3.35
Th2 0.7500 0.2500 0.5000  4 Pr 3.35

Pm6Pr5Th2 after structural relaxation. Source: the Alexandria database, functional PBE.

Unit cell a=11.7693 b=21.3884 c=3.6579 alpha=90.00 beta=90.00 gamma=90.00
Last column: nearest neighbours and their distance in Å.
Sites, in units of the cell vectors:
Pm1 0.0646 0.1476 0.0000  1 Th 3.41, 4 Pm 3.49-3.66, 6 Pr 3.63-3.73
Pm2 0.0823 0.4381 0.0000  5 Pm 3.28-3.66, 2 Pr 3.59
Pm3 0.1849 0.8750 0.5000  2 Pr 3.45-3.46, 6 Pm 3.49-3.66, 2 Th 3.51
Pm4 0.3151 0.3750 0.5000  2 Pr 3.45-3.46, 6 Pm 3.49-3.66, 2 Th 3.51
Pm5 0.4177 0.9381 0.0000  5 Pm 3.28-3.66, 2 Pr 3.59
Pm6 0.4354 0.6476 0.0000  1 Th 3.41, 4 Pm 3.49-3.66, 6 Pr 3.63-3.73
Pm7 0.5646 0.3524 0.0000  1 Th 3.41, 4 Pm 3.49-3.66, 6 Pr 3.63-3.73
Pm8 0.5823 0.0619 0.0000  5 Pm 3.28-3.66, 2 Pr 3.59
Pm9 0.6849 0.6250 0.5000  2 Pr 3.45-3.46, 6 Pm 3.49-3.66, 2 Th 3.51
Pm10 0.8151 0.1250 0.5000  2 Pr 3.45-3.46, 6 Pm 3.49-3.66, 2 Th 3.51
Pm11 0.9177 0.5619 0.0000  5 Pm 3.28-3.66, 2 Pr 3.59
Pm12 0.9354 0.8524 0.0000  1 Th 3.41, 4 Pm 3.49-3.66, 6 Pr 3.63-3.73
Pr1 0.0000 0.0000 0.5000  6 Pm 3.45-3.73, 2 Pr 3.66
Pr2 0.0608 0.2941 0.5000  5 Pm 3.46-3.63, 4 Th 3.55-3.66, 2 Pr 3.66
Pr3 0.1897 0.5812 0.5000  4 Pr 3.66-4.04, 6 Pm 3.70-3.78, 2 Th 3.76
Pr4 0.3103 0.0812 0.5000  4 Pr 3.66-4.04, 6 Pm 3.70-3.78, 2 Th 3.76
Pr5 0.4392 0.7941 0.5000  5 Pm 3.46-3.63, 4 Th 3.55-3.66, 2 Pr 3.66
Pr6 0.5000 0.5000 0.5000  6 Pm 3.45-3.73, 2 Pr 3.66
Pr7 0.5608 0.2059 0.5000  5 Pm 3.46-3.63, 4 Th 3.55-3.66, 2 Pr 3.66
Pr8 0.6897 0.9188 0.5000  4 Pr 3.66-4.04, 6 Pm 3.70-3.78, 2 Th 3.76
Pr9 0.8103 0.4188 0.5000  4 Pr 3.66-4.04, 6 Pm 3.70-3.78, 2 Th 3.76
Pr10 0.9392 0.7059 0.5000  5 Pm 3.46-3.63, 4 Th 3.55-3.66, 2 Pr 3.66
Th1 0.1927 0.7349 0.0000  3 Pm 3.41-3.51, 6 Pr 3.55-3.76, 2 Th 3.66
Th2 0.3073 0.2349 0.0000  3 Pm 3.41-3.51, 6 Pr 3.55-3.76, 2 Th 3.66
Th3 0.6927 0.7651 0.0000  3 Pm 3.41-3.51, 6 Pr 3.55-3.76, 2 Th 3.66
Th4 0.8073 0.2651 0.0000  3 Pm 3.41-3.51, 6 Pr 3.55-3.76, 2 Th 3.66

| no. | energy of formation from the pure elements (meV per atom) |
| --- | --- |
| 1 | 216 |
| 2 | 314 |
| 3 | 252 |
| 4 | 53 |
| 5 | 163 |
| 6 | 266 |
| 7 | 330 |
| 8 | 111 |